[1]
Computed, not measured: Np2CN after structural relaxation at the PBE level of DFT.

Results
Its formation energy from raw total energies is -321 meV per atom. The calculation puts the offset from the most stable computed form at 0.154 eV/atom.

Structure (extended XYZ):
```
4
Lattice="-1.7943 -2.9294 0.3411 1.5260 -3.0384 -0.5976 1.5002 -2.3040 5.5735" Properties=species:S:1:pos:R:3 pbc="T T T"
Np 1.0993 -2.2246 4.1463
Np 0.3071 -2.0678 1.3263
C 1.3049 -6.2793 5.3443
N 0.6366 -4.1400 2.7321
```

---

[2]
Computed, not measured: Ho2AlZnAu6 after structural relaxation at the PBE level of DFT.

Results
The formation energy is -0.505 eV per atom.

Structure (extended XYZ):
```
10
Lattice="7.0642 -0.1706 0.5415 -0.1121 7.3437 -1.7017 3.7189 2.3779 3.7195" Properties=species:S:1:pos:R:3 pbc="T T T"
Ho 3.0777 6.5051 1.1275
Ho 7.5933 3.0460 1.4318
Al 3.4761 3.5866 -0.5801
Zn 0.0000 0.0000 0.0000
Au 5.3745 7.7120 2.5787
Au 8.1458 8.5289 2.0884
Au 4.4608 3.9131 1.8685
Au 5.2965 1.8391 -0.0194
Au 2.5252 1.0221 0.4709
Au 6.2101 5.6379 0.6908
```

---

Number 1: total magnetic moment 6.967 μB/cell. Number 2: total magnetic moment 0.000 μB/cell.